This record from Alexandria via LeMat-Bulk describes crystalline Tl3TeW at its relaxed geometry. The functional is PBE.

* magnetization: 0.620 μB per atom
* symmetry: No. 221
* uncorrected energy: -3.813 eV/atom
* density: 9.20 Mg/m³
* DOS(E_F): 3.0 states/eV per cell

Cell lengths 5.5059, 5.5059, 5.5059 Å; angles 90.00, 90.00, 90.00 degrees
Closest atoms and distances in Å follow each position.
Atoms (fractional coordinates):
Tl  0.0000  0.0000  0.5000  2 W 2.75
Tl  0.0000  0.5000  0.0000  2 W 2.75
Tl  0.5000  0.0000  0.0000  2 W 2.75
Te  0.5000  0.5000  0.5000  12 Tl 3.89
W  0.0000  0.0000  0.0000  6 Tl 2.75